(1)
A plane-wave DFT calculation with PBE was carried out for crystalline SiAs4I2 at its relaxed geometry.

DFT total energy: -3.2813 eV per atom
magnetization: 0.0 μB/f.u.
uncorrected formation energy: 0.59 eV per atom
calculated volume: 388.32 Å³ per cell

Cell lengths 4.7113, 4.7113, 17.4951 Å; angles 90.00, 90.00, 90.00 degrees
Space group I4/mmm (No. 139)
One atom of each set of equivalent atoms:
Si (0.0000, 0.0000, 0.0000) [2 per cell]
As (0.0000, 0.0000, 0.1364) [4 per cell]
As (0.0000, 0.5000, 0.0000) [4 per cell]
I (0.0000, 0.0000, 0.3245) [4 per cell]



(2)
A plane-wave DFT calculation with PBE was carried out for crystalline TaCd2Ni at its relaxed geometry.

DFT total energy: -4.5770 eV per atom
magnetization: 0.0 μB/f.u.
energy above the lowest structure with this stoichiometry: 100 kJ/mol of formula units
formation enthalpy at 0 K: 0.289 eV/atom
calculated volume: 144.49 Å³ per cell

Cell lengths 2.8519, 4.9935, 10.1459 Å; angles 90.00, 90.00, 90.00 degrees
Space group Imm2 (No. 44)
One atom of each set of equivalent atoms:
Ta (0.0000, 0.0000, 0.0000) [2 per cell]
Cd (0.0000, 0.0000, 0.5583) [2 per cell]
Cd (0.0000, 0.5000, 0.7762) [2 per cell]
Ni (0.0000, 0.5000, 0.2930) [2 per cell]